VASP calculation (PBE-GGA) on a relaxed RbBaAu2 crystal.

Output
Magnetization in μB/f.u.: 0.0
ΔE_f in kJ/mol of atoms: -44.7
Relative energy among the computed polymorphs in eV per formula unit: 0.17
Space group: No. 225

Structure (POSCAR):
```
RbBaAu2
1.0
0.000 4.067 4.067
4.067 0.000 4.067
4.067 4.067 0.000
Au Rb Ba
2 1 1
direct
0.250 0.250 0.250 Au
0.750 0.750 0.750 Au
0.000 0.000 0.000 Rb
0.500 0.500 0.500 Ba
```